(1)
An optimized crystal structure of TeMo. Source: Alexandria, functional PBE.

CIF file:
```
data_TeMo
_cell_length_a 6.6470
_cell_length_b 6.6470
_cell_length_c 5.1904
_cell_angle_alpha 90.00
_cell_angle_beta 90.00
_cell_angle_gamma 90.00
_symmetry_space_group_name_H-M 'P 1'
_symmetry_Int_Tables_number 1
loop_
_symmetry_equiv_pos_as_xyz
'x,y,z'
loop_
_atom_site_label
_atom_site_fract_x
_atom_site_fract_y
_atom_site_fract_z
_atom_site_occupancy
Te1 0.2133 0.2133 0.0000 1
Te2 0.2867 0.7133 0.5000 1
Te3 0.7133 0.2867 0.5000 1
Te4 0.7867 0.7867 0.0000 1
Mo1 0.1123 0.1123 0.5000 1
Mo2 0.3877 0.6123 0.0000 1
Mo3 0.6123 0.3877 0.0000 1
Mo4 0.8877 0.8877 0.5000 1
```

Values from the calculation:
- SG = P4_2/mnm
- formation energy (no corrections) (eV per formula unit) = 0.8
- volume (Å³/f.u.) = 57.3
- distance to the lowest polymorph of the same formula (eV per formula unit) = 0.85

=====

(2)
An optimized crystal structure of Te5Mo. Source: Alexandria, functional PBE.

CIF file:
```
data_Te5Mo
_cell_length_a 3.3671
_cell_length_b 3.3671
_cell_length_c 14.5935
_cell_angle_alpha 90.00
_cell_angle_beta 90.00
_cell_angle_gamma 90.00
_symmetry_space_group_name_H-M 'P 1'
_symmetry_Int_Tables_number 1
loop_
_symmetry_equiv_pos_as_xyz
'x,y,z'
loop_
_atom_site_label
_atom_site_fract_x
_atom_site_fract_y
_atom_site_fract_z
_atom_site_occupancy
Te1 0.0000 0.0000 0.0000 1
Te2 0.0000 0.0000 0.3864 1
Te3 0.0000 0.0000 0.6136 1
Te4 0.5000 0.5000 0.1491 1
Te5 0.5000 0.5000 0.8509 1
Mo1 0.5000 0.5000 0.5000 1
```

Values from the calculation:
- SG = P4/mmm
- formation energy (no corrections) (eV per formula unit) = 1.2
- volume (Å³/f.u.) = 165.5
- distance to the lowest polymorph of the same formula (eV per formula unit) = 1.18

=====

(3)
An optimized crystal structure of TeMo. Source: Alexandria, functional PBE.

CIF file:
```
data_TeMo
_cell_length_a 3.4392
_cell_length_b 6.9478
_cell_length_c 6.9478
_cell_angle_alpha 124.56
_cell_angle_beta 90.00
_cell_angle_gamma 90.00
_symmetry_space_group_name_H-M 'P 1'
_symmetry_Int_Tables_number 1
loop_
_symmetry_equiv_pos_as_xyz
'x,y,z'
loop_
_atom_site_label
_atom_site_fract_x
_atom_site_fract_y
_atom_site_fract_z
_atom_site_occupancy
Te1 0.0000 0.0000 0.0000 1
Te2 0.5000 0.2221 0.5574 1
Te3 0.5000 0.5574 0.2221 1
Mo1 0.0000 0.5491 0.8968 1
Mo2 0.0000 0.8968 0.5491 1
Mo3 0.5000 0.6748 0.6748 1
```

Values from the calculation:
- SG = Amm2
- formation energy (no corrections) (eV per formula unit) = 0.4
- volume (Å³/f.u.) = 45.6
- distance to the lowest polymorph of the same formula (eV per formula unit) = 0.41

=====

(4)
An optimized crystal structure of TeMo. Source: Alexandria, functional PBE.

CIF file:
```
data_TeMo
_cell_length_a 3.3341
_cell_length_b 3.3341
_cell_length_c 3.3341
_cell_angle_alpha 90.18
_cell_angle_beta 90.18
_cell_angle_gamma 90.18
_symmetry_space_group_name_H-M 'P 1'
_symmetry_Int_Tables_number 1
loop_
_symmetry_equiv_pos_as_xyz
'x,y,z'
loop_
_atom_site_label
_atom_site_fract_x
_atom_site_fract_y
_atom_site_fract_z
_atom_site_occupancy
Te1 0.0000 0.0000 0.0000 1
Mo1 0.5000 0.5000 0.5000 1
```

Values from the calculation:
- SG = R-3m
- formation energy (no corrections) (eV per formula unit) = 0.6
- volume (Å³/f.u.) = 37.1
- distance to the lowest polymorph of the same formula (eV per formula unit) = 0.67